(1)
This record from the Alexandria database describes a relaxed structure of Zr2TcPd2. The functional is PBE.

The structure in CIF format:
```
data_Zr2TcPd2
_chemical_formula_sum 'Zr4 Tc2 Pd4'
_space_group_name_H-M_alt 'P 4/m b m'
_space_group_IT_number 127
_space_group_name_Hall '-P 4 2ab'
_cell_length_a 7.2582
_cell_length_b 7.2582
_cell_length_c 3.4948
_cell_angle_alpha 90.00
_cell_angle_beta 90.00
_cell_angle_gamma 90.00
loop_
_atom_site_label
_atom_site_fract_x
_atom_site_fract_y
_atom_site_fract_z
_atom_site_occupancy
Zr1 0.1787 0.3213 0.0000 1
Tc1 0.0000 0.0000 0.5000 1
Pd1 0.1269 0.6269 0.5000 1
```

Results
- magnetic moment (Bohr magnetons per cell) = 0.00
- electronic total energy (eV per atom) = -7.814
- Fermi-level density of states (states/eV per cell) = 18.09
- calculated formation energy (meV/atom) = -244


(2)
This record from the Alexandria database describes a relaxed structure of Li2YTaPt. The functional is PBE.

The structure in CIF format:
```
data_Li2YTaPt
_chemical_formula_sum 'Li2 Y1 Ta1 Pt1'
_space_group_name_H-M_alt 'P 4/m m m'
_space_group_IT_number 123
_space_group_name_Hall '-P 4 2'
_cell_length_a 4.4816
_cell_length_b 4.4816
_cell_length_c 4.9511
_cell_angle_alpha 90.00
_cell_angle_beta 90.00
_cell_angle_gamma 90.00
loop_
_atom_site_label
_atom_site_fract_x
_atom_site_fract_y
_atom_site_fract_z
_atom_site_occupancy
Li1 0.0000 0.5000 0.0000 1
Y1 0.0000 0.0000 0.0000 1
Ta1 0.5000 0.5000 0.5000 1
Pt1 0.0000 0.0000 0.5000 1
```

Results
- magnetic moment (Bohr magnetons per cell) = 0.00
- electronic total energy (eV per atom) = -4.399
- Fermi-level density of states (states/eV per cell) = 5.12
- calculated formation energy (meV/atom) = 1238


(3)
This record from the Alexandria database describes a relaxed structure of SrHgW2. The functional is PBE.

The structure in CIF format:
```
data_SrHgW2
_chemical_formula_sum 'Sr4 Hg4 W8'
_space_group_name_H-M_alt 'I -4 2 d'
_space_group_IT_number 122
_space_group_name_Hall 'I -4 2bw'
_cell_length_a 4.7417
_cell_length_b 4.7417
_cell_length_c 20.3399
_cell_angle_alpha 90.00
_cell_angle_beta 90.00
_cell_angle_gamma 90.00
loop_
_atom_site_label
_atom_site_fract_x
_atom_site_fract_y
_atom_site_fract_z
_atom_site_occupancy
Sr1 0.0000 0.0000 0.0000 1
Hg1 0.0000 0.0000 0.5000 1
W1 0.0341 0.2500 0.6250 1
```

Results
- magnetic moment (Bohr magnetons per cell) = 0.00
- electronic total energy (eV per atom) = -5.694
- Fermi-level density of states (states/eV per cell) = 22.32
- calculated formation energy (meV/atom) = 1278


(4)
This record from the Alexandria database describes a relaxed structure of Pr5MgIn. The functional is PBE.

The structure in CIF format:
```
data_Pr5MgIn
_chemical_formula_sum 'Pr20 Mg4 In4'
_space_group_name_H-M_alt 'C 1 2/c 1'
_space_group_IT_number 15
_cell_length_a 8.8543
_cell_length_b 9.2609
_cell_length_c 11.8239
_cell_angle_alpha 90.00
_cell_angle_beta 106.06
_cell_angle_gamma 90.00
loop_
_space_group_symop_operation_xyz
'x,y,z'
'-x,-y,-z'
'-x,y,-z+1/2'
'x,-y,z+1/2'
'x+1/2,y+1/2,z'
'-x+1/2,-y+1/2,-z'
'-x+1/2,y+1/2,-z+1/2'
'x+1/2,-y+1/2,z+1/2'
loop_
_atom_site_label
_atom_site_fract_x
_atom_site_fract_y
_atom_site_fract_z
_atom_site_occupancy
Pr1 0.0000 0.1318 0.2500 1
Pr2 0.1177 0.3550 0.5325 1
Pr3 0.2081 0.2034 0.8365 1
Mg1 0.0000 0.0000 0.0000 1
In1 0.0000 0.4881 0.2500 1
```

Results
- magnetic moment (Bohr magnetons per cell) = 0.00
- electronic total energy (eV per atom) = -4.069
- Fermi-level density of states (states/eV per cell) = 31.81
- calculated formation energy (meV/atom) = -36


(5)
This record from the Alexandria database describes a relaxed structure of K3BaBr4. The functional is PBE.

The structure in CIF format:
```
data_K3BaBr4
_chemical_formula_sum 'K6 Ba2 Br8'
_space_group_name_H-M_alt 'P 63/m m c'
_space_group_IT_number 194
_space_group_name_Hall '-P 6c 2c'
_cell_length_a 4.6644
_cell_length_b 4.6644
_cell_length_c 32.3219
_cell_angle_alpha 90.00
_cell_angle_beta 90.00
_cell_angle_gamma 120.00
loop_
_atom_site_label
_atom_site_fract_x
_atom_site_fract_y
_atom_site_fract_z
_atom_site_occupancy
K1 0.0000 0.0000 0.0000 1
K2 0.3333 0.6667 0.1214 1
Ba1 0.3333 0.6667 0.7500 1
Br1 0.0000 0.0000 0.1823 1
Br2 0.3333 0.6667 0.5609 1
```

Results
- energy relative to the elements, uncorrected (eV/atom) = -1.693
- magnetic moment (Bohr magnetons per cell) = 1.84
- electronic total energy (eV per atom) = -3.182
- Fermi-level density of states (states/eV per cell) = 1.66


(6)
This record from the Alexandria database describes a relaxed structure of Th6Ir2Ru3Se. The functional is PBE.

The structure in CIF format:
```
data_Th6Ir2Ru3Se
_chemical_formula_sum 'Th12 Ir4 Ru6 Se2'
_space_group_name_H-M_alt 'C 1 2/m 1'
_space_group_IT_number 12
_cell_length_a 18.0677
_cell_length_b 4.0973
_cell_length_c 8.3720
_cell_angle_alpha 90.00
_cell_angle_beta 104.35
_cell_angle_gamma 90.00
loop_
_space_group_symop_operation_xyz
'x,y,z'
'-x,-y,-z'
'-x,y,-z'
'x,-y,z'
'x+1/2,y+1/2,z'
'-x+1/2,-y+1/2,-z'
'-x+1/2,y+1/2,-z'
'x+1/2,-y+1/2,z'
loop_
_atom_site_label
_atom_site_fract_x
_atom_site_fract_y
_atom_site_fract_z
_atom_site_occupancy
Th1 0.0010 0.0000 0.2297 1
Th2 0.1675 0.5000 0.0822 1
Th3 0.1748 0.5000 0.5824 1
Ir1 0.1661 0.0000 0.8290 1
Ru1 0.0000 0.5000 0.0000 1
Ru2 0.1606 0.0000 0.3298 1
Se1 0.0000 0.5000 0.5000 1
```

Results
- energy relative to the elements, uncorrected (eV/atom) = -0.778
- magnetic moment (Bohr magnetons per cell) = 0.00
- electronic total energy (eV per atom) = -8.574
- Fermi-level density of states (states/eV per cell) = 10.74


(7)
This record from the Alexandria database describes a relaxed structure of CdP. The functional is PBE.

The structure in CIF format:
```
data_CdP
_chemical_formula_sum 'Cd6 P6'
_space_group_name_H-M_alt 'R -3 m'
_space_group_IT_number 166
_space_group_name_Hall '-R 3 2"'
_cell_length_a 3.3623
_cell_length_b 3.3623
_cell_length_c 25.0885
_cell_angle_alpha 90.00
_cell_angle_beta 90.00
_cell_angle_gamma 120.00
loop_
_atom_site_label
_atom_site_fract_x
_atom_site_fract_y
_atom_site_fract_z
_atom_site_occupancy
Cd1 0.0000 0.0000 0.1185 1
P1 0.0000 0.0000 0.3579 1
```

Results
- magnetic moment (Bohr magnetons per cell) = 0.00
- electronic total energy (eV per atom) = -3.049
- Fermi-level density of states (states/eV per cell) = 3.40
- calculated formation energy (meV/atom) = 114


(8)
This record from the Alexandria database describes a relaxed structure of BaBPS2. The functional is PBE.

The structure in CIF format:
```
data_BaBPS2
_chemical_formula_sum 'Ba1 B1 P1 S2'
_space_group_name_H-M_alt 'P 4/m m m'
_space_group_IT_number 123
_space_group_name_Hall '-P 4 2'
_cell_length_a 5.9737
_cell_length_b 5.9737
_cell_length_c 6.3146
_cell_angle_alpha 90.00
_cell_angle_beta 90.00
_cell_angle_gamma 90.00
loop_
_atom_site_label
_atom_site_fract_x
_atom_site_fract_y
_atom_site_fract_z
_atom_site_occupancy
Ba1 0.0000 0.0000 0.0000 1
B1 0.5000 0.5000 0.5000 1
P1 0.0000 0.0000 0.5000 1
S1 0.0000 0.5000 0.0000 1
```

Results
- energy relative to the elements, uncorrected (eV/atom) = 1.642
- magnetic moment (Bohr magnetons per cell) = 4.04
- electronic total energy (eV per atom) = -2.811
- Fermi-level density of states (states/eV per cell) = 4.94


(9)
This record from the Alexandria database describes a relaxed structure of HoSc3Pd2. The functional is PBE.

The structure in CIF format:
```
data_HoSc3Pd2
_chemical_formula_sum 'Ho2 Sc6 Pd4'
_space_group_name_H-M_alt 'P m c 21'
_space_group_IT_number 26
_cell_length_a 4.6340
_cell_length_b 8.3396
_cell_length_c 6.7320
_cell_angle_alpha 90.00
_cell_angle_beta 90.00
_cell_angle_gamma 90.00
loop_
_space_group_symop_operation_xyz
'x,y,z'
'-x,-y,z+1/2'
'-x,y,z'
'x,-y,z+1/2'
loop_
_atom_site_label
_atom_site_fract_x
_atom_site_fract_y
_atom_site_fract_z
_atom_site_occupancy
Ho1 0.0000 0.0723 0.0000 1
Sc1 0.0000 0.3337 0.6284 1
Sc2 0.5000 0.1824 0.3387 1
Sc3 0.5000 0.4291 0.9634 1
Pd1 0.0000 0.3505 0.2287 1
Pd2 0.5000 0.1558 0.7363 1
```

Results
- magnetic moment (Bohr magnetons per cell) = 0.00
- electronic total energy (eV per atom) = -6.301
- Fermi-level density of states (states/eV per cell) = 14.46
- calculated formation energy (meV/atom) = -642


(10)
This record from the Alexandria database describes a relaxed structure of Er2ZnCu. The functional is PBE.

The structure in CIF format:
```
data_Er2ZnCu
_chemical_formula_sum 'Er8 Zn4 Cu4'
_space_group_name_H-M_alt 'F m -3 m'
_space_group_IT_number 225
_space_group_name_Hall '-F 4 2 3'
_cell_length_a 6.9699
_cell_length_b 6.9699
_cell_length_c 6.9699
_cell_angle_alpha 90.00
_cell_angle_beta 90.00
_cell_angle_gamma 90.00
loop_
_atom_site_label
_atom_site_fract_x
_atom_site_fract_y
_atom_site_fract_z
_atom_site_occupancy
Er1 0.2500 0.2500 0.2500 1
Zn1 0.0000 0.0000 0.0000 1
Cu1 0.0000 0.0000 0.5000 1
```

Results
- magnetic moment (Bohr magnetons per cell) = 0.01
- electronic total energy (eV per atom) = -3.928
- Fermi-level density of states (states/eV per cell) = 9.92
- calculated formation energy (meV/atom) = -304


(11)
This record from the Alexandria database describes a relaxed structure of Mg3BiW. The functional is PBE.

The structure in CIF format:
```
data_Mg3BiW
_chemical_formula_sum 'Mg3 Bi1 W1'
_space_group_name_H-M_alt 'P m -3 m'
_space_group_IT_number 221
_space_group_name_Hall '-P 4 2 3'
_cell_length_a 5.2330
_cell_length_b 5.2330
_cell_length_c 5.2330
_cell_angle_alpha 90.00
_cell_angle_beta 90.00
_cell_angle_gamma 90.00
loop_
_atom_site_label
_atom_site_fract_x
_atom_site_fract_y
_atom_site_fract_z
_atom_site_occupancy
Mg1 0.0000 0.0000 0.5000 1
Bi1 0.5000 0.5000 0.5000 1
W1 0.0000 0.0000 0.0000 1
```

Results
- magnetic moment (Bohr magnetons per cell) = 1.41
- electronic total energy (eV per atom) = -3.181
- Fermi-level density of states (states/eV per cell) = 2.70
- calculated formation energy (meV/atom) = 1142


(12)
This record from the Alexandria database describes a relaxed structure of Ca2CoAg. The functional is PBE.

The structure in CIF format:
```
data_Ca2CoAg
_chemical_formula_sum 'Ca2 Co1 Ag1'
_space_group_name_H-M_alt 'P 1 2/m 1'
_space_group_IT_number 10
_cell_length_a 3.5347
_cell_length_b 3.5079
_cell_length_c 7.3365
_cell_angle_alpha 90.00
_cell_angle_beta 90.16
_cell_angle_gamma 90.00
loop_
_space_group_symop_operation_xyz
'x,y,z'
'-x,-y,-z'
'-x,y,-z'
'x,-y,z'
loop_
_atom_site_label
_atom_site_fract_x
_atom_site_fract_y
_atom_site_fract_z
_atom_site_occupancy
Ca1 0.9998 0.0000 0.2250 1
Co1 0.5000 0.5000 0.0000 1
Ag1 0.5000 0.5000 0.5000 1
```

Results
- magnetic moment (Bohr magnetons per cell) = 0.69
- electronic total energy (eV per atom) = -3.415
- Fermi-level density of states (states/eV per cell) = 5.84
- calculated formation energy (meV/atom) = 75


(13)
This record from the Alexandria database describes a relaxed structure of Zr2InCl. The functional is PBE.

The structure in CIF format:
```
data_Zr2InCl
_chemical_formula_sum 'Zr4 In2 Cl2'
_space_group_name_H-M_alt 'C m m m'
_space_group_IT_number 65
_space_group_name_Hall '-C 2 2'
_cell_length_a 3.2128
_cell_length_b 5.6363
_cell_length_c 9.6673
_cell_angle_alpha 90.00
_cell_angle_beta 90.00
_cell_angle_gamma 90.00
loop_
_atom_site_label
_atom_site_fract_x
_atom_site_fract_y
_atom_site_fract_z
_atom_site_occupancy
Zr1 0.0000 0.0000 0.2323 1
In1 0.0000 0.5000 0.5000 1
Cl1 0.0000 0.5000 0.0000 1
```

Results
- energy relative to the elements, uncorrected (eV/atom) = -0.403
- magnetic moment (Bohr magnetons per cell) = 0.00
- electronic total energy (eV per atom) = -5.824
- Fermi-level density of states (states/eV per cell) = 5.18